No. 1
A plane-wave DFT calculation with GGA-PBE was carried out for an optimized crystal structure of MnZnP.

Properties
Calculated formation energy   0.1225 eV per atom
Space-group type   F-43m (216)
Spin magnetization   0.000 μB per atom

Cell: 3.887 3.887 3.887 Å, 60.00 60.00 60.00°
Positions (direct):
Mn: 0.000 0.000 0.000
Zn: 0.750 0.750 0.750
P: 0.250 0.250 0.250

No. 2
A plane-wave DFT calculation with GGA-PBE was carried out for an optimized crystal structure of MgCoRu2.

Properties
Calculated formation energy   0.2887 eV per atom
Space-group type   P4/mmm (123)
Spin magnetization   0.337 μB per atom

Cell: 3.748 3.748 3.923 Å, 90.00 90.00 90.00°
Positions (direct):
Mg: 0.000 0.000 0.000
Co: 0.500 0.500 0.000
Ru: 0.000 0.500 0.500
Ru: 0.500 0.000 0.500

No. 3
A plane-wave DFT calculation with GGA-PBE was carried out for an optimized crystal structure of CeTlZnAg.

Properties
Calculated formation energy   -0.1707 eV per atom
Space-group type   F-43m (216)
Spin magnetization   0.204 μB per atom

Cell: 5.041 5.041 5.041 Å, 60.00 60.00 60.00°
Positions (direct):
Ce: 0.000 0.000 0.000
Tl: 0.500 0.500 0.500
Zn: 0.250 0.250 0.250
Ag: 0.750 0.750 0.750